# BeIO2 GGA-PBE optimized geometry
data_BeIO2
_cell_length_a 6.781
_cell_length_b 6.781
_cell_length_c 6.781
_cell_angle_alpha 27.18
_cell_angle_beta 27.18
_cell_angle_gamma 27.18
_space_group_name_H-M_alt 'P 1'
_space_group_IT_number 1
loop_
_space_group_symop_operation_xyz
'x,y,z'
loop_
_atom_site_label
_atom_site_type_symbol
_atom_site_fract_x
_atom_site_fract_y
_atom_site_fract_z
Be1 Be 0.000 0.000 0.000
I1 I 0.500 0.500 0.500
O1 O 0.074 0.074 0.074
O2 O 0.926 0.926 0.926
# VASP energy ... -4.11 eV per atom
# Volume ... 57 Å³/cell
# Density ... 4.9 g/cm³
# Crystal system ... trigonal
# Symmetry ... R-3m, No. 166
# E_form (uncorrected) ... -0.308 eV per atom
# Energy relative to the lowest polymorph listed for this composition ... 543 meV per atom